[1]
PBE ZrPaCu2, relaxed; polymorph energy (0 for the lowest one) = 99 meV per atom
1.0
0.000 3.361 3.361
3.361 0.000 3.361
3.361 3.361 0.000
Zr Pa Cu
1 1 2
Direct
0.000 0.000 0.000 Zr
0.500 0.500 0.500 Pa
0.250 0.250 0.250 Cu
0.750 0.750 0.750 Cu

=====

[2]
PBE Zr2PaCu, relaxed; polymorph energy (0 for the lowest one) = 266 meV per atom
1.0
1.540 0.889 10.503
-1.540 0.889 10.503
0.000 -1.778 10.503
Zr Pa Cu
2 1 1
Direct
0.097 0.097 0.097 Zr
0.903 0.903 0.903 Zr
0.000 0.000 0.000 Pa
0.500 0.500 0.500 Cu

=====

[3]
PBE Zr2PaCu, relaxed; polymorph energy (0 for the lowest one) = 62 meV per atom
1.0
4.610 0.000 0.000
0.000 4.610 0.000
0.000 0.000 3.915
Zr Pa Cu
2 1 1
Direct
0.000 0.500 0.000 Zr
0.500 0.000 0.000 Zr
0.000 0.000 0.500 Pa
0.500 0.500 0.500 Cu

=====

[4]
PBE Zr2PaCu, relaxed; polymorph energy (0 for the lowest one) = 0 meV per atom
1.0
3.510 0.000 0.000
0.000 3.510 0.000
0.000 0.000 6.655
Zr Pa Cu
2 1 1
Direct
0.000 0.000 0.233 Zr
0.000 0.000 0.767 Zr
0.500 0.500 0.500 Pa
0.500 0.500 0.000 Cu

=====

[5]
Below is a relaxed Zr2PaCu6 crystal, with properties calculated at the PBE level.

```
Zr2PaCu6
1.0
-1.505 3.751 6.551
1.505 -3.751 6.551
1.505 3.751 -6.551
Zr Pa Cu
2 1 6
Direct
0.148 0.148 0.000 Zr
0.852 0.852 0.000 Zr
0.500 0.000 0.500 Pa
0.148 0.326 0.822 Cu
0.171 0.500 0.671 Cu
0.496 0.674 0.822 Cu
0.504 0.326 0.178 Cu
0.829 0.500 0.329 Cu
0.852 0.674 0.178 Cu
```

=====

[6]
PBE ZrPaCu2, relaxed; polymorph energy (0 for the lowest one) = 35 meV per atom
1.0
4.262 0.000 0.000
0.000 4.262 0.000
0.000 0.000 4.049
Zr Pa Cu
1 1 2
Direct
0.000 0.000 0.000 Zr
0.500 0.500 0.000 Pa
0.000 0.500 0.500 Cu
0.500 0.000 0.500 Cu

=====

[7]
Below is a relaxed Zr2PaCu9 crystal, with properties calculated at the PBE level.

```
Zr2PaCu9
1.0
2.550 1.472 8.049
-2.550 1.472 8.049
0.000 -2.944 8.049
Zr Pa Cu
2 1 9
Direct
0.147 0.147 0.147 Zr
0.853 0.853 0.853 Zr
0.000 0.000 0.000 Pa
0.083 0.584 0.584 Cu
0.332 0.332 0.332 Cu
0.416 0.416 0.917 Cu
0.416 0.917 0.416 Cu
0.500 0.500 0.500 Cu
0.584 0.083 0.584 Cu
0.584 0.584 0.083 Cu
0.668 0.668 0.668 Cu
0.917 0.416 0.416 Cu
```

=====

[8]
Below is a relaxed CuPb crystal, with properties calculated at the PBE level.

```
CuPb
1.0
0.000 3.541 3.541
3.541 0.000 3.541
3.541 3.541 0.000
Cu Pb
2 2
Direct
0.125 0.125 0.125 Cu
0.875 0.875 0.875 Cu
0.375 0.375 0.375 Pb
0.625 0.625 0.625 Pb
```

=====

[9]
Below is a relaxed CuPb crystal, with properties calculated at the PBE level.

```
CuPb
1.0
-1.803 6.006 2.969
1.803 -6.006 2.969
1.803 6.006 -2.969
Cu Pb
3 3
Direct
0.000 0.000 0.000 Cu
0.682 0.288 0.394 Cu
0.894 0.288 0.606 Cu
0.005 0.714 0.290 Pb
0.424 0.714 0.710 Pb
0.480 0.480 0.000 Pb
```

=====

[10]
Below is a relaxed CuPb crystal, with properties calculated at the PBE level.

```
CuPb
1.0
0.000 2.817 2.817
2.817 0.000 2.817
2.817 2.817 0.000
Cu Pb
1 1
Direct
0.000 0.000 0.000 Cu
0.500 0.500 0.500 Pb
```

=====

[11]
Below is a relaxed CuPb crystal, with properties calculated at the PBE level.

```
CuPb
1.0
3.523 0.000 0.000
0.000 5.687 0.000
0.000 0.000 4.417
Cu Pb
2 2
Direct
0.250 0.250 0.216 Cu
0.750 0.750 0.784 Cu
0.250 0.750 0.281 Pb
0.750 0.250 0.719 Pb
```

=====

[12]
Below is a relaxed CuPb3 crystal, with properties calculated at the PBE level.

```
CuPb3
1.0
4.766 0.000 0.000
0.000 4.766 0.000
0.000 0.000 4.766
Cu Pb
1 3
Direct
0.000 0.000 0.000 Cu
0.000 0.500 0.500 Pb
0.500 0.000 0.500 Pb
0.500 0.500 0.000 Pb
```

=====

[13]
Below is a relaxed CuPb crystal, with properties calculated at the PBE level.

```
CuPb
1.0
4.176 0.000 0.000
0.000 17.274 0.000
0.000 0.000 3.651
Cu Pb
6 6
Direct
0.250 0.042 0.002 Cu
0.250 0.458 0.002 Cu
0.250 0.750 0.491 Cu
0.750 0.250 0.509 Cu
0.750 0.542 0.998 Cu
0.750 0.958 0.998 Cu
0.250 0.250 0.008 Pb
0.250 0.592 0.500 Pb
0.250 0.908 0.500 Pb
0.750 0.092 0.500 Pb
0.750 0.408 0.500 Pb
0.750 0.750 0.992 Pb
```

=====

[14]
Below is a relaxed Cu4Pb5 crystal, with properties calculated at the PBE level.

```
Cu4Pb5
1.0
8.381 0.000 0.000
-4.191 7.259 0.000
0.000 0.000 6.771
Cu Pb
8 10
Direct
0.000 0.000 0.000 Cu
0.000 0.000 0.500 Cu
0.000 0.391 0.250 Cu
0.000 0.609 0.750 Cu
0.391 0.000 0.250 Cu
0.391 0.391 0.750 Cu
0.609 0.000 0.750 Cu
0.609 0.609 0.250 Cu
0.000 0.267 0.750 Pb
0.000 0.733 0.250 Pb
0.267 0.000 0.750 Pb
0.267 0.267 0.250 Pb
0.333 0.667 0.000 Pb
0.333 0.667 0.500 Pb
0.667 0.333 0.000 Pb
0.667 0.333 0.500 Pb
0.733 0.000 0.250 Pb
0.733 0.733 0.750 Pb
```

=====

[15]
Below is a relaxed Cu3Pb crystal, with properties calculated at the PBE level.

```
Cu3Pb
1.0
1.573 0.908 8.070
-1.573 0.908 8.070
0.000 -1.816 8.070
Cu Pb
3 1
Direct
0.000 0.000 0.000 Cu
0.263 0.263 0.263 Cu
0.737 0.737 0.737 Cu
0.500 0.500 0.500 Pb
```

=====

[16]
Below is a relaxed Cu3Pb4 crystal, with properties calculated at the PBE level.

```
Cu3Pb4
1.0
5.266 0.000 0.000
-2.633 4.561 0.000
0.000 0.000 6.811
Cu Pb
3 4
Direct
0.000 0.500 0.000 Cu
0.500 0.000 0.000 Cu
0.500 0.500 0.000 Cu
0.000 0.000 0.226 Pb
0.000 0.000 0.774 Pb
0.333 0.667 0.500 Pb
0.667 0.333 0.500 Pb
```

=====

[17]
PBE Cu4Pb, relaxed; polymorph energy (0 for the lowest one) = 993 meV per atom
1.0
4.907 0.000 0.000
0.000 4.907 0.000
0.000 0.000 4.907
Cu Pb
4 1
Direct
0.000 0.000 0.000 Cu
0.000 0.500 0.500 Cu
0.500 0.000 0.500 Cu
0.500 0.500 0.000 Cu
0.500 0.500 0.500 Pb

=====

[18]
Below is a relaxed CuPb crystal, with properties calculated at the PBE level.

```
CuPb
1.0
3.696 0.000 0.000
-1.848 3.201 0.000
0.000 0.000 3.805
Cu Pb
1 1
Direct
0.000 0.000 0.000 Cu
0.667 0.333 0.500 Pb
```

=====

[19]
Below is a relaxed Cu2Pb3 crystal, with properties calculated at the PBE level.

```
Cu2Pb3
1.0
0.000 7.523 3.079
5.124 0.000 3.079
5.124 7.523 0.000
Cu Pb
4 6
Direct
0.317 0.683 0.430 Cu
0.680 0.820 0.567 Cu
0.683 0.317 0.570 Cu
0.820 0.680 0.933 Cu
0.079 0.079 0.421 Pb
0.193 0.440 0.890 Pb
0.360 0.772 0.057 Pb
0.440 0.193 0.478 Pb
0.772 0.360 0.810 Pb
0.829 0.829 0.171 Pb
```

=====

[20]
Below is a relaxed Cu3Pb crystal, with properties calculated at the PBE level.

```
Cu3Pb
1.0
5.035 0.000 0.000
0.000 5.035 0.000
0.000 0.000 5.035
Cu Pb
6 2
Direct
0.000 0.250 0.500 Cu
0.000 0.750 0.500 Cu
0.250 0.500 0.000 Cu
0.500 0.000 0.250 Cu
0.500 0.000 0.750 Cu
0.750 0.500 0.000 Cu
0.000 0.000 0.000 Pb
0.500 0.500 0.500 Pb
```

=====

[21]
Below is a relaxed CuPb3 crystal, with properties calculated at the PBE level.

```
CuPb3
1.0
3.445 -4.113 0.000
3.445 4.113 0.000
0.000 0.000 3.840
Cu Pb
1 3
Direct
0.000 0.000 0.000 Cu
0.000 0.500 0.500 Pb
0.500 0.000 0.500 Pb
0.500 0.500 0.000 Pb
```

=====

[22]
Below is a relaxed Cu2Pb3 crystal, with properties calculated at the PBE level.

```
Cu2Pb3
1.0
1.939 1.119 9.389
-1.939 1.119 9.389
0.000 -2.239 9.389
Cu Pb
2 3
Direct
0.106 0.106 0.106 Cu
0.894 0.894 0.894 Cu
0.287 0.287 0.287 Pb
0.500 0.500 0.500 Pb
0.713 0.713 0.713 Pb
```

=====

[23]
Below is a relaxed CuPb3 crystal, with properties calculated at the PBE level.

```
CuPb3
1.0
-1.822 4.910 3.052
1.822 -4.910 3.052
1.822 4.910 -3.052
Cu Pb
1 3
Direct
0.000 0.000 0.000 Cu
0.000 0.693 0.307 Pb
0.386 0.693 0.693 Pb
0.653 0.153 0.500 Pb
```

=====

[24]
Below is a relaxed CuPb crystal, with properties calculated at the PBE level.

```
CuPb
1.0
0.000 3.057 3.057
3.057 0.000 3.057
3.057 3.057 0.000
Cu Pb
1 1
Direct
0.000 0.000 0.000 Cu
0.750 0.750 0.750 Pb
```

=====

[25]
Below is a relaxed CuPb3 crystal, with properties calculated at the PBE level.

```
CuPb3
1.0
3.501 0.000 0.000
0.000 3.501 0.000
0.000 0.000 8.660
Cu Pb
1 3
Direct
0.000 0.000 0.000 Cu
0.000 0.000 0.500 Pb
0.500 0.500 0.200 Pb
0.500 0.500 0.800 Pb
```

=====

[26]
Below is a relaxed CuPb crystal, with properties calculated at the PBE level.

```
CuPb
1.0
7.532 0.000 0.000
0.000 7.532 0.000
0.000 0.000 7.532
Cu Pb
6 6
Direct
0.000 0.250 0.500 Cu
0.000 0.750 0.500 Cu
0.250 0.500 0.000 Cu
0.500 0.000 0.250 Cu
0.500 0.000 0.750 Cu
0.750 0.500 0.000 Cu
0.000 0.500 0.250 Pb
0.000 0.500 0.750 Pb
0.250 0.000 0.500 Pb
0.500 0.250 0.000 Pb
0.500 0.750 0.000 Pb
0.750 0.000 0.500 Pb
```

=====

[27]
Below is a relaxed CuPb crystal, with properties calculated at the PBE level.

```
CuPb
1.0
-1.786 2.098 5.986
1.786 -2.098 5.986
1.786 2.098 -5.986
Cu Pb
2 2
Direct
0.430 0.180 0.250 Cu
0.570 0.820 0.750 Cu
0.134 0.384 0.750 Pb
0.866 0.616 0.250 Pb
```

=====

N(E_F), respectively: 1.7087; 1.7643; 1.0287; 1.0139; 0.7578; 1.1246; 1.0750; 1.0054; 0.3545; 0.6025; 0.3958; 0.4892; 0.4384; 0.4649; 0.2719; 0.1849; 0.4260; 0.2767; 0.3604; 0.5685; 0.4854; 0.4418; 0.4001; 0.6664; 0.5066; 0.6379; 0.3401 states/eV per atom.
Mass density, respectively: 9.823; 9.186; 9.521; 9.661; 8.922; 10.144; 9.026; 10.128; 10.486; 10.055; 10.161; 10.512; 10.242; 10.402; 9.556; 10.348; 6.486; 9.987; 10.474; 10.354; 10.454; 10.168; 10.415; 7.866; 10.721; 6.313; 10.025 g/cm³.
Calculated formation energy, respectively: 0.109; 0.317; 0.113; 0.051; -0.042; 0.046; -0.056; 0.527; 0.187; 0.338; 0.320; 0.254; 0.233; 0.291; 0.381; 0.245; 1.176; 0.335; 0.205; 0.293; 0.300; 0.244; 0.142; 0.599; 0.138; 0.652; 0.249 eV per atom.